# Lu4Hf2Sn3C3

A relaxed Lu4Hf2Sn3C3 crystal (PBE, the Open Quantum Materials Database).

Computed properties:
* space-group type: C2/c, No. 15
* raw total energy: -7.16 eV per atom

```
data_Lu4Hf2Sn3C3
_chemical_formula_sum 'Lu8 Hf4 Sn6 C6'
_space_group_name_H-M_alt 'P 1'
_space_group_IT_number 1
_cell_length_a 6.0007
_cell_length_b 6.0007
_cell_length_c 15.3981
_cell_angle_alpha 101.36
_cell_angle_beta 101.36
_cell_angle_gamma 60.05
loop_
_space_group_symop_operation_xyz
'x,y,z'
loop_
_atom_site_label
_atom_site_type_symbol
_atom_site_fract_x
_atom_site_fract_y
_atom_site_fract_z
Lu1 Lu 0.0350 0.1909 0.0880
Lu2 Lu 0.1315 0.3043 0.4119
Lu3 Lu 0.1909 0.0350 0.5880
Lu4 Lu 0.3043 0.1315 0.9119
Lu5 Lu 0.6957 0.8685 0.0881
Lu6 Lu 0.8091 0.9650 0.4120
Lu7 Lu 0.8685 0.6957 0.5881
Lu8 Lu 0.9650 0.8091 0.9120
Hf1 Hf 0.3541 0.5258 0.0775
Hf2 Hf 0.4742 0.6459 0.4225
Hf3 Hf 0.5258 0.3541 0.5775
Hf4 Hf 0.6459 0.4742 0.9225
Sn1 Sn 0.1106 0.8894 0.2500
Sn2 Sn 0.2752 0.4182 0.7513
Sn3 Sn 0.4182 0.2752 0.2513
Sn4 Sn 0.5818 0.7248 0.7487
Sn5 Sn 0.7248 0.5818 0.2487
Sn6 Sn 0.8894 0.1106 0.7500
C1 C 0.0000 0.5000 0.0000
C2 C 0.1871 0.6565 0.5000
C3 C 0.3435 0.8129 0.0000
C4 C 0.5000 0.0000 0.5000
C5 C 0.6565 0.1871 0.0000
C6 C 0.8129 0.3435 0.5000
```



# Lu3HfTl2C2

A relaxed Lu3HfTl2C2 crystal (PBE, the Open Quantum Materials Database).

Computed properties:
* space-group type: P3m1, No. 156
* raw total energy: -6.32 eV per atom

```
data_Lu3HfTl2C2
_chemical_formula_sum 'Lu3 Hf1 Tl2 C2'
_space_group_name_H-M_alt 'P 1'
_space_group_IT_number 1
_cell_length_a 3.4703
_cell_length_b 3.4703
_cell_length_c 15.5930
_cell_angle_alpha 90.00
_cell_angle_beta 90.00
_cell_angle_gamma 120.00
loop_
_space_group_symop_operation_xyz
'x,y,z'
loop_
_atom_site_label
_atom_site_type_symbol
_atom_site_fract_x
_atom_site_fract_y
_atom_site_fract_z
Lu1 Lu 0.0000 0.0000 0.0000
Lu2 Lu 0.0000 0.0000 0.3359
Lu3 Lu 0.6667 0.3333 0.8318
Hf1 Hf 0.6667 0.3333 0.4982
Tl1 Tl 0.0000 0.0000 0.6622
Tl2 Tl 0.6667 0.3333 0.1693
C1 C 0.3333 0.6667 0.4281
C2 C 0.3333 0.6667 0.9159
```



# Lu2Hf4Tl3C3

A relaxed Lu2Hf4Tl3C3 crystal (PBE, the Open Quantum Materials Database).

Computed properties:
* space-group type: C2/c, No. 15
* raw total energy: -7.54 eV per atom

```
data_Lu2Hf4Tl3C3
_chemical_formula_sum 'Lu4 Hf8 Tl6 C6'
_space_group_name_H-M_alt 'P 1'
_space_group_IT_number 1
_cell_length_a 5.8894
_cell_length_b 5.8894
_cell_length_c 15.4701
_cell_angle_alpha 101.11
_cell_angle_beta 101.11
_cell_angle_gamma 60.01
loop_
_space_group_symop_operation_xyz
'x,y,z'
loop_
_atom_site_label
_atom_site_type_symbol
_atom_site_fract_x
_atom_site_fract_y
_atom_site_fract_z
Lu1 Lu 0.0311 0.8688 0.5910
Lu2 Lu 0.1312 0.9689 0.9090
Lu3 Lu 0.8688 0.0311 0.0910
Lu4 Lu 0.9689 0.1312 0.4090
Hf1 Hf 0.1932 0.3544 0.0784
Hf2 Hf 0.3015 0.4792 0.4216
Hf3 Hf 0.3544 0.1932 0.5784
Hf4 Hf 0.4792 0.3015 0.9216
Hf5 Hf 0.5208 0.6985 0.0784
Hf6 Hf 0.6456 0.8068 0.4216
Hf7 Hf 0.6985 0.5208 0.5784
Hf8 Hf 0.8068 0.6456 0.9216
Tl1 Tl 0.0847 0.2847 0.7514
Tl2 Tl 0.2847 0.0847 0.2514
Tl3 Tl 0.4528 0.5472 0.7500
Tl4 Tl 0.5472 0.4528 0.2500
Tl5 Tl 0.7153 0.9153 0.7486
Tl6 Tl 0.9153 0.7153 0.2486
C1 C 0.0000 0.5000 0.5000
C2 C 0.1730 0.6539 0.0000
C3 C 0.3461 0.8270 0.5000
C4 C 0.5000 0.0000 0.0000
C5 C 0.6539 0.1730 0.5000
C6 C 0.8270 0.3461 0.0000
```



# Lu4Hf2Tl3C3

A relaxed Lu4Hf2Tl3C3 crystal (PBE, the Open Quantum Materials Database).

Computed properties:
* space-group type: C2/c, No. 15
* raw total energy: -6.58 eV per atom

```
data_Lu4Hf2Tl3C3
_chemical_formula_sum 'Lu8 Hf4 Tl6 C6'
_space_group_name_H-M_alt 'P 1'
_space_group_IT_number 1
_cell_length_a 5.9984
_cell_length_b 5.9984
_cell_length_c 15.7879
_cell_angle_alpha 101.09
_cell_angle_beta 101.09
_cell_angle_gamma 60.04
loop_
_space_group_symop_operation_xyz
'x,y,z'
loop_
_atom_site_label
_atom_site_type_symbol
_atom_site_fract_x
_atom_site_fract_y
_atom_site_fract_z
Lu1 Lu 0.0349 0.1904 0.0872
Lu2 Lu 0.1313 0.3048 0.4126
Lu3 Lu 0.1904 0.0349 0.5872
Lu4 Lu 0.3048 0.1313 0.9126
Lu5 Lu 0.6952 0.8687 0.0874
Lu6 Lu 0.8096 0.9651 0.4128
Lu7 Lu 0.8687 0.6952 0.5874
Lu8 Lu 0.9651 0.8096 0.9128
Hf1 Hf 0.3529 0.5250 0.0754
Hf2 Hf 0.4750 0.6471 0.4246
Hf3 Hf 0.5250 0.3529 0.5754
Hf4 Hf 0.6471 0.4750 0.9246
Tl1 Tl 0.1075 0.8925 0.2500
Tl2 Tl 0.2740 0.4173 0.7511
Tl3 Tl 0.4173 0.2740 0.2511
Tl4 Tl 0.5827 0.7260 0.7489
Tl5 Tl 0.7260 0.5827 0.2489
Tl6 Tl 0.8925 0.1075 0.7500
C1 C 0.0000 0.5000 0.0000
C2 C 0.1889 0.6556 0.5000
C3 C 0.3444 0.8111 0.0000
C4 C 0.5000 0.0000 0.5000
C5 C 0.6556 0.1889 0.0000
C6 C 0.8111 0.3444 0.5000
```



# Lu2Hf4Zn3C3

A relaxed Lu2Hf4Zn3C3 crystal (PBE, the Open Quantum Materials Database).

Computed properties:
* space-group type: C2/c, No. 15
* raw total energy: -7.24 eV per atom

```
data_Lu2Hf4Zn3C3
_chemical_formula_sum 'Lu4 Hf8 Zn6 C6'
_space_group_name_H-M_alt 'P 1'
_space_group_IT_number 1
_cell_length_a 5.7267
_cell_length_b 5.7267
_cell_length_c 14.7936
_cell_angle_alpha 101.53
_cell_angle_beta 101.53
_cell_angle_gamma 60.06
loop_
_space_group_symop_operation_xyz
'x,y,z'
loop_
_atom_site_label
_atom_site_type_symbol
_atom_site_fract_x
_atom_site_fract_y
_atom_site_fract_z
Lu1 Lu 0.0373 0.8746 0.6078
Lu2 Lu 0.1254 0.9627 0.8922
Lu3 Lu 0.8746 0.0373 0.1078
Lu4 Lu 0.9627 0.1254 0.3922
Hf1 Hf 0.1941 0.3552 0.0829
Hf2 Hf 0.2980 0.4796 0.4171
Hf3 Hf 0.3552 0.1941 0.5829
Hf4 Hf 0.4796 0.2980 0.9171
Hf5 Hf 0.5204 0.7020 0.0829
Hf6 Hf 0.6448 0.8059 0.4171
Hf7 Hf 0.7020 0.5204 0.5829
Hf8 Hf 0.8059 0.6448 0.9171
Zn1 Zn 0.0857 0.3956 0.7499
Zn2 Zn 0.3956 0.0857 0.2499
Zn3 Zn 0.4301 0.5699 0.2500
Zn4 Zn 0.5699 0.4301 0.7500
Zn5 Zn 0.6044 0.9143 0.7501
Zn6 Zn 0.9143 0.6044 0.2501
C1 C 0.0000 0.5000 0.5000
C2 C 0.1711 0.6575 0.0000
C3 C 0.3425 0.8289 0.5000
C4 C 0.5000 0.0000 0.0000
C5 C 0.6575 0.1711 0.5000
C6 C 0.8289 0.3425 0.0000
```



# Lu4Hf2Zn3C3

A relaxed Lu4Hf2Zn3C3 crystal (PBE, the Open Quantum Materials Database).

Computed properties:
* space-group type: C2/c, No. 15
* raw total energy: -6.14 eV per atom

```
data_Lu4Hf2Zn3C3
_chemical_formula_sum 'Lu8 Hf4 Zn6 C6'
_space_group_name_H-M_alt 'P 1'
_space_group_IT_number 1
_cell_length_a 5.9535
_cell_length_b 5.9535
_cell_length_c 15.2144
_cell_angle_alpha 101.38
_cell_angle_beta 101.38
_cell_angle_gamma 58.43
loop_
_space_group_symop_operation_xyz
'x,y,z'
loop_
_atom_site_label
_atom_site_type_symbol
_atom_site_fract_x
_atom_site_fract_y
_atom_site_fract_z
Lu1 Lu 0.0379 0.1937 0.0916
Lu2 Lu 0.1300 0.3066 0.4077
Lu3 Lu 0.1937 0.0379 0.5916
Lu4 Lu 0.3066 0.1300 0.9077
Lu5 Lu 0.6934 0.8700 0.0923
Lu6 Lu 0.8063 0.9621 0.4084
Lu7 Lu 0.8700 0.6934 0.5923
Lu8 Lu 0.9621 0.8063 0.9084
Hf1 Hf 0.3596 0.5187 0.0797
Hf2 Hf 0.4813 0.6404 0.4203
Hf3 Hf 0.5187 0.3596 0.5797
Hf4 Hf 0.6404 0.4813 0.9203
Zn1 Zn 0.1260 0.8740 0.7500
Zn2 Zn 0.3258 0.3725 0.7498
Zn3 Zn 0.3725 0.3258 0.2498
Zn4 Zn 0.6275 0.6742 0.7502
Zn5 Zn 0.6742 0.6275 0.2502
Zn6 Zn 0.8740 0.1260 0.2500
C1 C 0.0000 0.5000 0.0000
C2 C 0.1898 0.6547 0.4974
C3 C 0.3453 0.8102 0.0026
C4 C 0.5000 0.0000 0.5000
C5 C 0.6547 0.1898 0.9974
C6 C 0.8102 0.3453 0.5026
```